[1]
Computed, not measured: a geometry-optimized Tb2MnGe3Rh4 structure at the PBE-GGA level of DFT.

Calculated values
formation energy	-0.7773	eV/atom

a b c (Å): 4.1149 4.1149 10.5203
angles (deg): 90.00 90.00 90.00
Last column: nearest neighbours and their distance in Å.
Fractional coordinates of all 10 atoms:
Tb (0.0000, 0.5000, 0.2482)  8 Rh 3.14-3.32, 6 Ge 3.16-3.35, 2 Mn 3.35
Tb (0.5000, 0.0000, 0.7518)  8 Rh 3.14-3.32, 6 Ge 3.16-3.35, 2 Mn 3.35
Mn (0.0000, 0.0000, 0.5000)  4 Rh 2.53
Ge (0.0000, 0.5000, 0.8699)  5 Rh 2.43-2.47
Ge (0.5000, 0.0000, 0.1301)  5 Rh 2.43-2.47
Ge (0.5000, 0.5000, 0.5000)  4 Rh 2.53
Rh (0.0000, 0.0000, 0.0000)  4 Ge 2.47
Rh (0.0000, 0.5000, 0.6392)  3 Ge 2.43-2.53, 2 Mn 2.53
Rh (0.5000, 0.0000, 0.3608)  3 Ge 2.43-2.53, 2 Mn 2.53
Rh (0.5000, 0.5000, 0.0000)  4 Ge 2.47

=====

[2]
Computed, not measured: a geometry-optimized CoReSn2Ru structure at the PBE-GGA level of DFT.

Calculated values
formation energy	1.5684	eV/atom

a b c (Å): 4.9464 4.9464 4.3196
angles (deg): 90.00 90.00 90.00
Last column: nearest neighbours and their distance in Å.
Fractional coordinates of all 5 atoms:
Co (0.0000, 0.0000, 0.0000)  2 Ru 2.16
Re (0.5000, 0.5000, 0.0000)  8 Sn 3.28, 4 Co 3.50
Sn (0.0000, 0.5000, 0.5000)  2 Ru 2.47
Sn (0.5000, 0.0000, 0.5000)  2 Ru 2.47
Ru (0.0000, 0.0000, 0.5000)  2 Co 2.16

=====

[3]
Computed, not measured: a geometry-optimized Pr5Sn2 structure at the PBE-GGA level of DFT.

Calculated values
formation energy	-0.4564	eV/atom
energy above the lowest structure with this stoichiometry	7.2	meV/atom

a b c (Å): 8.8417 8.8417 9.0796
angles (deg): 95.96 95.96 40.82
Last column: nearest neighbours and their distance in Å.
Fractional coordinates of all 14 atoms:
Pr (0.1272, 0.3185, 0.3207)  3 Sn 3.31-3.46, 3 Pr 3.44-3.50
Pr (0.2130, 0.5716, 0.0602)  4 Sn 3.27-3.46, 2 Pr 3.44-3.56
Pr (0.2127, 0.7873, 0.7500)  4 Sn 3.30-3.37, 2 Pr 3.56
Pr (0.3185, 0.1272, 0.8207)  3 Sn 3.31-3.46, 3 Pr 3.44-3.50
Pr (0.4284, 0.7870, 0.4398)  4 Sn 3.27-3.46, 2 Pr 3.44-3.56
Pr (0.5716, 0.2130, 0.5602)  4 Sn 3.27-3.46, 2 Pr 3.44-3.56
Pr (0.6815, 0.8728, 0.1793)  3 Sn 3.31-3.46, 3 Pr 3.44-3.50
Pr (0.7873, 0.2127, 0.2500)  4 Sn 3.30-3.37, 2 Pr 3.56
Pr (0.7870, 0.4284, 0.9398)  4 Sn 3.27-3.46, 2 Pr 3.44-3.56
Pr (0.8728, 0.6815, 0.6793)  3 Sn 3.31-3.46, 3 Pr 3.44-3.50
Sn (0.0980, 0.7129, 0.4109)  9 Pr 3.27-3.46
Sn (0.2871, 0.9020, 0.0891)  9 Pr 3.27-3.46
Sn (0.7129, 0.0980, 0.9109)  9 Pr 3.27-3.46
Sn (0.9020, 0.2871, 0.5891)  9 Pr 3.27-3.46

=====

[4]
Computed, not measured: a geometry-optimized YOsCl2 structure at the PBE-GGA level of DFT.

Calculated values
energy above the lowest structure with this stoichiometry	353.2	meV/atom
formation energy from raw total energies	-0.22	eV/atom

a b c (Å): 7.6753 7.6753 7.6753
angles (deg): 154.15 143.01 45.67
Last column: nearest neighbours and their distance in Å.
Fractional coordinates of all 4 atoms:
Y (0.0000, 0.0000, 0.0000)  4 Cl 2.69, 4 Os 2.98
Os (0.5000, 0.5000, 0.0000)  4 Y 2.98, 4 Cl 3.20
Cl (0.1467, 0.6467, 0.5000)  2 Y 2.69
Cl (0.8533, 0.3533, 0.5000)  2 Y 2.69

=====

Results for M_tot: 3.48; 0.03; 0.00; 2.64 (in μB per cell, following the order of the records).
Results for E_tot: -6.9461; -5.7987; -5.0140; -5.5681 (in eV/atom, following the order of the records).
Results for ρ: 9.3; 9.2; 6.8; 4.9 (in g cm⁻³, following the order of the records).